Version a
CaLaY2 | SCAN | PBEsol geometry

a b c (Å): 7.1966 10.1619 3.6146
angles (deg): 90.00 90.00 90.00
Last column: nearest neighbours and their distance in Å.
Space group Cmmm (No. 65)
Symmetry-distinct sites (fractional):
Ca: 0.0000 0.0000 0.0000 [2 per cell]  2 La 3.60, 8 Y 3.60, 2 Ca 3.61
La: 0.0000 0.5000 0.0000 [2 per cell]  2 Ca 3.60, 8 Y 3.60, 2 La 3.61
Y: 0.2500 0.2500 0.5000 [4 per cell]  4 Y 3.60-3.61, 4 La 3.60, 4 Ca 3.60

Values from the calculation:
The volume comes out at 33.0 Å³ per atom. The value obtained for the calculated density is 4.48 g/cm3.


Version b
CaLaY2 | SCAN | PBEsol geometry

a b c (Å): 5.1687 5.1687 10.0100
angles (deg): 90.00 90.00 90.00
Last column: nearest neighbours and their distance in Å.
Space group I-4m2 (No. 119)
Symmetry-distinct sites (fractional):
Ca: 0.0000 0.0000 0.0000 [2 per cell]  4 La 3.60, 8 Y 3.60-3.65
La: 0.0000 0.5000 0.2500 [2 per cell]  4 Ca 3.60, 8 Y 3.60-3.65
Y: 0.0000 0.0000 0.5000 [2 per cell]  4 La 3.60, 4 Y 3.60, 4 Ca 3.65
Y: 0.0000 0.5000 0.7500 [2 per cell]  4 Ca 3.60, 4 Y 3.60, 4 La 3.65

Values from the calculation:
The volume comes out at 33.4 Å³ per atom. The value obtained for the calculated density is 4.43 g/cm3.


Quick one: most stable of them? version a


Version a
Al2CoIr | SCAN | PBEsol geometry

a b c (Å): 6.4684 6.4684 5.3675
angles (deg): 90.00 90.00 90.00
Last column: nearest neighbours and their distance in Å.
Space group I-42d (No. 122)
Symmetry-distinct sites (fractional):
Al: 0.2328 0.2500 0.1250 [8 per cell]  2 Co 2.31, 2 Ir 2.46
Co: 0.0000 0.0000 0.0000 [4 per cell]  4 Al 2.31
Ir: 0.0000 0.0000 0.5000 [4 per cell]  4 Al 2.46, 2 Co 2.68

Values from the calculation:
The volume comes out at 14.0 Å³ per atom. The value obtained for the calculated density is 9.02 g/cm3.


Version b
Al2CoIr | SCAN | PBEsol geometry

a b c (Å): 2.7625 2.7625 24.5579
angles (deg): 90.00 90.00 120.00
Last column: nearest neighbours and their distance in Å.
Space group R3m (No. 160, hexagonal axes)
Symmetry-distinct sites (fractional):
Al: 0.0000 0.0000 0.0000 [3 per cell]  3 Co 2.44
Al: 0.0000 0.0000 0.2391 [3 per cell]  3 Ir 2.56, 9 Al 2.76-2.81
Co: 0.0000 0.0000 0.7418 [3 per cell]  3 Al 2.44, 3 Ir 2.58
Ir: 0.0000 0.0000 0.4911 [3 per cell]  3 Al 2.56, 3 Co 2.58, 6 Ir 2.76

Values from the calculation:
The volume comes out at 13.5 Å³ per atom. The value obtained for the calculated density is 9.37 g/cm3.


Quick one: most stable of them? version b


Version a
TcMo3 | SCAN | PBEsol geometry

a b c (Å): 3.1043 4.4080 8.7549
angles (deg): 90.00 90.00 90.00
Last column: nearest neighbours and their distance in Å.
Space group Cmmm (No. 65)
Symmetry-distinct sites (fractional):
Tc: 0.0000 0.0000 0.0000 [2 per cell]  4 Mo 2.67, 4 Tc 2.70
Mo: 0.0000 0.0000 0.5000 [2 per cell]  8 Mo 2.70
Mo: 0.0000 0.5000 0.2475 [4 per cell]  2 Tc 2.67, 6 Mo 2.70

Values from the calculation:
The volume comes out at 15.0 Å³ per atom. The value obtained for the calculated density is 10.70 g/cm3.


Version b
TcMo3 | SCAN | PBEsol geometry

a b c (Å): 6.2254 8.7883 4.3790
angles (deg): 90.00 90.00 90.00
Last column: nearest neighbours and their distance in Å.
Space group Cmcm (No. 63)
Symmetry-distinct sites (fractional):
Tc: 0.0000 0.1221 0.2500 [4 per cell]  8 Mo 2.68-2.71
Mo: 0.0000 0.3729 0.7500 [4 per cell]  8 Mo 2.68-2.70
Mo: 0.2484 0.3751 0.2500 [8 per cell]  4 Tc 2.68-2.71, 4 Mo 2.68-2.70

Values from the calculation:
The volume comes out at 15.0 Å³ per atom. The value obtained for the calculated density is 10.70 g/cm3.


Quick one: most stable of them? version b


Version a
CaLa2Cu | SCAN | PBEsol geometry

a b c (Å): 3.5027 5.3983 12.0927
angles (deg): 90.00 90.00 90.00
Last column: nearest neighbours and their distance in Å.
Space group Immm (No. 71)
Symmetry-distinct sites (fractional):
Ca: 0.0000 0.0000 0.0000 [2 per cell]  4 Cu 3.22, 2 Ca 3.50
La: 0.0000 0.5000 0.1998 [4 per cell]  2 Cu 2.98
Cu: 0.0000 0.0000 0.5000 [2 per cell]  4 La 2.98, 4 Ca 3.22

Values from the calculation:
The volume comes out at 28.6 Å³ per atom. The value obtained for the calculated density is 5.54 g/cm3.


Version b
CaLa2Cu | SCAN | PBEsol geometry

a b c (Å): 7.4825 7.4825 7.4825
angles (deg): 90.00 90.00 90.00
Last column: nearest neighbours and their distance in Å.
Space group F-43m (No. 216)
Symmetry-distinct sites (fractional):
Ca: 0.0000 0.0000 0.0000 [4 per cell]  4 La 3.24, 4 Cu 3.24
La: 0.0000 0.0000 0.5000 [4 per cell]  4 La 3.24, 4 Cu 3.24
La: 0.2500 0.2500 0.7500 [4 per cell]  4 Ca 3.24, 4 La 3.24
Cu: 0.2500 0.2500 0.2500 [4 per cell]  4 La 3.24, 4 Ca 3.24

Values from the calculation:
The volume comes out at 26.2 Å³ per atom. The value obtained for the calculated density is 6.05 g/cm3.


Quick one: most stable of them? version a


Version a
MgAg2 | SCAN | PBEsol geometry

a b c (Å): 10.3755 3.0819 6.9389
angles (deg): 90.00 109.37 90.00
Last column: nearest neighbours and their distance in Å.
Space group C2/m (No. 12)
Symmetry-distinct sites (fractional):
Mg: 0.1737 0.0000 0.1354 [4 per cell]  8 Ag 2.82-2.91, 2 Mg 3.08
Ag: 0.0336 0.5000 0.7895 [4 per cell]  5 Mg 2.82-2.91, 6 Ag 2.85-3.08
Ag: 0.1468 0.0000 0.5402 [4 per cell]  9 Ag 2.84-3.08, 3 Mg 2.85-2.91

Values from the calculation:
The volume comes out at 17.4 Å³ per atom. The value obtained for the calculated density is 7.62 g/cm3.


Version b
MgAg2 | SCAN | PBEsol geometry

a b c (Å): 4.5405 4.5405 2.9028
angles (deg): 90.00 90.00 120.00
Last column: nearest neighbours and their distance in Å.
Space group P-3m1 (No. 164)
Symmetry-distinct sites (fractional):
Mg: 0.0000 0.0000 0.0000 [1 per cell]  6 Ag 2.79, 2 Mg 2.90
Ag: 0.3333 0.6667 0.3269 [2 per cell]  3 Mg 2.79, 5 Ag 2.81-2.90

Values from the calculation:
The volume comes out at 17.3 Å³ per atom. The value obtained for the calculated density is 7.69 g/cm3.


Quick one: most stable of them? version a


Version a
BaLa3Ru | SCAN | PBEsol geometry

a b c (Å): 4.0909 5.6065 8.0241
angles (deg): 90.00 90.00 90.00
Last column: nearest neighbours and their distance in Å.
Space group Pmmm (No. 47)
Symmetry-distinct sites (fractional):
Ba: 0.0000 0.0000 0.0000 [1 per cell]  10 La 4.01-4.07, 2 Ba 4.09
La: 0.0000 0.0000 0.5000 [1 per cell]  2 Ru 2.80
La: 0.5000 0.5000 0.2645 [2 per cell]  2 Ru 2.78
Ru: 0.0000 0.5000 0.5000 [1 per cell]  6 La 2.78-2.80

Values from the calculation:
The volume comes out at 36.8 Å³ per atom. The value obtained for the calculated density is 5.91 g/cm3.


Version b
BaLa3Ru | SCAN | PBEsol geometry

a b c (Å): 5.6186 5.6186 5.6186
angles (deg): 90.00 90.00 90.00
Last column: nearest neighbours and their distance in Å.
Space group Pm-3m (No. 221)
Symmetry-distinct sites (fractional):
Ba: 0.0000 0.0000 0.0000 [1 per cell]  12 La 3.97
La: 0.0000 0.5000 0.5000 [3 per cell]  2 Ru 2.81
Ru: 0.5000 0.5000 0.5000 [1 per cell]  6 La 2.81

Values from the calculation:
The volume comes out at 35.5 Å³ per atom. The value obtained for the calculated density is 6.13 g/cm3.


Quick one: most stable of them? version a